VASP calculation (GGA-PBE) on an optimized crystal structure of KLi2I2Br.

a = 6.2546 Å, b = 7.7278 Å, c = 10.2501 Å
α = 108.59°, β = 90.00°, γ = 90.00°
Element x y z (fractional)
K1 0.7500 0.3294 0.5811
K2 0.2500 0.6706 0.4189
Li1 0.5016 0.1291 0.1545
Li2 0.9984 0.1291 0.1545
Li3 0.0016 0.8709 0.8455
Li4 0.4984 0.8709 0.8455
I1 0.2500 0.1016 0.3668
I2 0.2500 0.5639 0.7393
I3 0.7500 0.8984 0.6332
I4 0.7500 0.4361 0.2607
Br1 0.2500 0.1363 0.9609
Br2 0.7500 0.8637 0.0391

Output
Total energy in eV/atom: -2.992
Formation energy without anion corrections in eV/atom: -1.375